Record 1
# KMg2MnAl | Alexandria | GGA-PBE | relaxed
# - formation energy from the elements (eV per atom) = 1.16
# - magnetization (μB/f.u.) = 0.00
# - volume (Å³ per cell) = 146.4
data_KMg2MnAl
_chemical_formula_sum 'K1 Mg2 Mn1 Al1'
_cell_length_a 5.095
_cell_length_b 5.095
_cell_length_c 5.639
_cell_angle_alpha 90.00
_cell_angle_beta 90.00
_cell_angle_gamma 90.00
_symmetry_space_group_name_H-M 'P 4/m m m'
_symmetry_Int_Tables_number 123
_symmetry_space_group_name_Hall '-P 4 2'
loop_
_atom_site_label
_atom_site_type_symbol
_atom_site_fract_x
_atom_site_fract_y
_atom_site_fract_z
K1 K 0.000 0.000 0.000
Mg1 Mg 0.000 0.500 0.500
Mn1 Mn 0.000 0.000 0.500
Al1 Al 0.500 0.500 0.000

---

Record 2
# Sn2PtAu | Alexandria | GGA-PBE | relaxed
# - formation energy from the elements (eV per atom) = -0.33
# - magnetization (μB/f.u.) = 0.00
# - volume (Å³ per cell) = 180.1
# - polymorph energy (0 for the lowest one) (eV per atom) = 0.0000
data_Sn2PtAu
_chemical_formula_sum 'Sn4 Pt2 Au2'
_cell_length_a 3.825
_cell_length_b 4.981
_cell_length_c 9.456
_cell_angle_alpha 90.00
_cell_angle_beta 90.00
_cell_angle_gamma 90.00
_symmetry_space_group_name_H-M 'P m m n'
_symmetry_Int_Tables_number 59
loop_
_symmetry_equiv_pos_as_xyz
'x,y,z'
'-x,-y,-z'
'-x+1/2,-y+1/2,z'
'x+1/2,y+1/2,-z'
'x+1/2,-y,-z'
'-x+1/2,y,z'
'-x,y+1/2,-z'
'x,-y+1/2,z'
loop_
_atom_site_label
_atom_site_type_symbol
_atom_site_fract_x
_atom_site_fract_y
_atom_site_fract_z
Sn1 Sn 0.250 0.250 0.042
Sn2 Sn 0.250 0.250 0.625
Pt1 Pt 0.250 0.750 0.166
Au1 Au 0.250 0.250 0.339

---

Record 3
# LiTbEuGa | Alexandria | GGA-PBE | relaxed
# - formation energy from the elements (eV per atom) = -0.23
# - magnetization (μB/f.u.) = 7.23
# - volume (Å³ per cell) = 408.3
data_LiTbEuGa
_chemical_formula_sum 'Li4 Tb4 Eu4 Ga4'
_cell_length_a 7.419
_cell_length_b 7.419
_cell_length_c 7.419
_cell_angle_alpha 90.00
_cell_angle_beta 90.00
_cell_angle_gamma 90.00
_symmetry_space_group_name_H-M 'F -4 3 m'
_symmetry_Int_Tables_number 216
_symmetry_space_group_name_Hall 'F -4 2 3'
loop_
_atom_site_label
_atom_site_type_symbol
_atom_site_fract_x
_atom_site_fract_y
_atom_site_fract_z
Li1 Li 0.000 0.000 0.000
Tb1 Tb 0.250 0.250 0.250
Eu1 Eu 0.250 0.250 0.750
Ga1 Ga 0.000 0.000 0.500

---

Record 4
# ZrSc2Sb | Alexandria | GGA-PBE | relaxed
# - magnetization (μB/f.u.) = 0.00
# - volume (Å³ per cell) = 93.7
# - formation energy from raw total energies (eV/atom) = -0.36
data_ZrSc2Sb
_chemical_formula_sum 'Zr1 Sc2 Sb1'
_cell_length_a 3.697
_cell_length_b 4.535
_cell_length_c 5.744
_cell_angle_alpha 90.00
_cell_angle_beta 103.32
_cell_angle_gamma 90.00
_symmetry_space_group_name_H-M 'P 1 m 1'
_symmetry_Int_Tables_number 6
loop_
_symmetry_equiv_pos_as_xyz
'x,y,z'
'x,-y,z'
loop_
_atom_site_label
_atom_site_type_symbol
_atom_site_fract_x
_atom_site_fract_y
_atom_site_fract_z
Zr1 Zr 0.000 0.000 0.000
Sc1 Sc 0.230 0.500 0.616
Sc2 Sc 0.658 0.000 0.466
Sb1 Sb 0.558 0.500 0.152